# 1
DFT (PBE) results for a relaxed TmTaGa2 crystal.

Cell lengths 3.512, 3.512, 6.182 Å; angles 90.00, 90.00, 90.00 degrees
Fractional coordinates of all 4 atoms:
Tm 0.000 0.000 0.000
Ta 0.000 0.000 0.500
Ga 0.500 0.500 0.288
Ga 0.500 0.500 0.712

Results
The energy above the lowest structure with this stoichiometry comes out at 0.000 eV per atom. As for the formation energy from the elements: -0.234 eV/atom.

# 2
DFT (PBE) results for a relaxed Os3Pt crystal.

Cell lengths 2.765, 2.765, 8.854 Å; angles 90.00, 90.00, 120.00 degrees
Fractional coordinates of all 4 atoms:
Os 0.000 0.000 0.000
Os 0.667 0.333 0.239
Os 0.667 0.333 0.761
Pt 0.000 0.000 0.500

Results
As for the formation energy from the elements: 0.048 eV/atom.

# 3
DFT (PBE) results for a relaxed Tm3Ni7As4 crystal.

Cell lengths 7.636, 7.636, 8.954 Å; angles 124.38, 124.38, 29.78 degrees
Fractional coordinates of all 14 atoms:
Tm 0.000 0.000 0.000
Tm 0.323 0.323 0.332
Tm 0.677 0.677 0.668
Ni 0.000 0.000 0.500
Ni 0.148 0.148 0.411
Ni 0.311 0.311 0.973
Ni 0.494 0.494 0.711
Ni 0.506 0.506 0.289
Ni 0.689 0.689 0.027
Ni 0.852 0.852 0.589
As 0.112 0.112 0.828
As 0.336 0.336 0.725
As 0.664 0.664 0.275
As 0.888 0.888 0.172

Results
As for the formation energy from the elements: -0.748 eV/atom.

Question: Look up the formation energy from the elements of the second one.
Answer: 0.048 eV/atom